VASP calculation (PBE) on Ge2ClF3 after structural relaxation.

The final energy comes out at -4.54 eV/atom. The energy relative to the elements, uncorrected comes out at -1.760 eV per atom. The value obtained for the distance to the lowest polymorph of the same formula is 0 meV/atom.

The structure belongs to space group P-1 (No. 2); the cell edges are 4.463, 7.880 and 8.242 Å and the angles 105.36°, 103.95° and 104.42°. The asymmetric unit holds Ge at (0.077, 0.302, 0.299), Ge at (0.291, 0.251, 0.874), Cl at (0.483, 0.265, 0.517), F at (0.144, 0.978, 0.813), F at (0.276, 0.736, 0.059) and F at (0.342, 0.286, 0.138).

=====

VASP calculation (PBE) on GeClF3 after structural relaxation.

The final energy comes out at -2.64 eV/atom. The energy relative to the elements, uncorrected comes out at -0.224 eV per atom. The value obtained for the distance to the lowest polymorph of the same formula is 1773 meV/atom.

The structure belongs to space group Pm-3m (No. 221); the cell edges are 4.410, 4.410 and 4.410 Å and the angles 90.00°, 90.00° and 90.00°. The asymmetric unit holds Ge at (0.000, 0.000, 0.000), Cl at (0.500, 0.500, 0.500) and F at (0.000, 0.500, 0.500).

=====

Results for M_tot: 0.0 0.0 (in μB/cell, following the order of the records).
Results for DOS at the Fermi energy: 0.00 1.75 (in states/eV per cell, following the order of the records).